VASP calculation (GGA-PBE) on a relaxed structure of Li5V2N5.

Structure (POSCAR):
```
Li5V2N5
1.0
4.9846 -1.5310 0.0000
4.9846 1.5310 0.0000
-2.5881 0.0000 7.8945
Li V N
5 2 5
Direct
0.0000 0.0000 0.0000 Li
0.1585 0.1585 0.5653 Li
0.2449 0.2449 0.8804 Li
0.7551 0.7551 0.1196 Li
0.8415 0.8415 0.4347 Li
0.4595 0.4595 0.7052 V
0.5405 0.5405 0.2948 V
0.1500 0.1500 0.2980 N
0.3953 0.3953 0.1178 N
0.5000 0.5000 0.5000 N
0.6047 0.6047 0.8822 N
0.8500 0.8500 0.7020 N
```

Values from the calculation:
The value obtained for the total magnetization is 0.000 μB/cell. The calculation puts the calculated volume at 120.5 Å³ per cell. Its space-group type is C2/m (12). As for the energy relative to the elements, uncorrected: -802 meV/atom.